[1]
# Rb2LiVCd (PBE, relaxed)
data_Rb2LiVCd
_cell_length_a 6.879
_cell_length_b 6.879
_cell_length_c 5.283
_cell_angle_alpha 90.00
_cell_angle_beta 90.00
_cell_angle_gamma 90.00
_symmetry_space_group_name_H-M 'P 1'
_symmetry_Int_Tables_number 1
loop_
_symmetry_equiv_pos_as_xyz
'x,y,z'
loop_
_atom_site_label
_atom_site_type_symbol
_atom_site_fract_x
_atom_site_fract_y
_atom_site_fract_z
Rb1 Rb 0.000 0.500 0.000
Rb2 Rb 0.500 0.000 0.000
Li1 Li 0.000 0.000 0.500
V1 V 0.500 0.500 0.500
Cd1 Cd 0.000 0.000 0.000
# Space-group type = P4/mmm, No. 123
# Spin magnetization = 0.8 Bohr magnetons per cell
# Formation enthalpy at 0 K = 1203 meV per atom
# DOS(E_F) = 13.28 states/eV/cell

---

[2]
# CrCd2Ir2 (PBE, relaxed)
data_CrCd2Ir2
_cell_length_a 7.624
_cell_length_b 7.624
_cell_length_c 7.624
_cell_angle_alpha 152.17
_cell_angle_beta 152.17
_cell_angle_gamma 39.77
_symmetry_space_group_name_H-M 'P 1'
_symmetry_Int_Tables_number 1
loop_
_symmetry_equiv_pos_as_xyz
'x,y,z'
loop_
_atom_site_label
_atom_site_type_symbol
_atom_site_fract_x
_atom_site_fract_y
_atom_site_fract_z
Cr1 Cr 0.000 0.000 0.000
Cd1 Cd 0.401 0.401 0.000
Cd2 Cd 0.599 0.599 0.000
Ir1 Ir 0.250 0.750 0.500
Ir2 Ir 0.750 0.250 0.500
# Space-group type = I4/mmm, No. 139
# Spin magnetization = 4.9 Bohr magnetons per cell
# Formation enthalpy at 0 K = 628 meV per atom
# DOS(E_F) = 3.67 states/eV/cell

---

[3]
# Tb3SmY3Te8 (PBE, relaxed)
data_Tb3SmY3Te8
_cell_length_a 8.711
_cell_length_b 8.711
_cell_length_c 8.711
_cell_angle_alpha 60.01
_cell_angle_beta 60.01
_cell_angle_gamma 60.01
_symmetry_space_group_name_H-M 'P 1'
_symmetry_Int_Tables_number 1
loop_
_symmetry_equiv_pos_as_xyz
'x,y,z'
loop_
_atom_site_label
_atom_site_type_symbol
_atom_site_fract_x
_atom_site_fract_y
_atom_site_fract_z
Tb1 Tb 0.000 0.500 0.500
Tb2 Tb 0.500 0.000 0.500
Tb3 Tb 0.500 0.500 0.000
Sm1 Sm 0.500 0.500 0.500
Y1 Y 0.000 0.000 0.500
Y2 Y 0.000 0.500 0.000
Y3 Y 0.500 0.000 0.000
Te1 Te 0.241 0.241 0.759
Te2 Te 0.241 0.759 0.241
Te3 Te 0.241 0.759 0.759
Te4 Te 0.250 0.250 0.250
Te5 Te 0.750 0.750 0.750
Te6 Te 0.759 0.241 0.241
Te7 Te 0.759 0.241 0.759
Te8 Te 0.759 0.759 0.241
# Space-group type = R-3m, No. 166
# Raw formation energy = -1.392 eV per atom
# Spin magnetization = 0.0 Bohr magnetons per cell
# DOS(E_F) = 6.87 states/eV/cell

---

[4]
# Cd2TeH (PBE, relaxed)
data_Cd2TeH
_cell_length_a 4.973
_cell_length_b 4.973
_cell_length_c 4.973
_cell_angle_alpha 60.00
_cell_angle_beta 60.00
_cell_angle_gamma 60.00
_symmetry_space_group_name_H-M 'P 1'
_symmetry_Int_Tables_number 1
loop_
_symmetry_equiv_pos_as_xyz
'x,y,z'
loop_
_atom_site_label
_atom_site_type_symbol
_atom_site_fract_x
_atom_site_fract_y
_atom_site_fract_z
Cd1 Cd 0.250 0.250 0.250
Cd2 Cd 0.750 0.750 0.750
Te1 Te 0.000 0.000 0.000
H1 H 0.500 0.500 0.500
# Energy = -1.716 eV per atom
# Space-group type = Fm-3m, No. 225
# Spin magnetization = 0.0 Bohr magnetons per cell
# DOS(E_F) = 3.06 states/eV/cell

---

[5]
# ReSb3 (PBE, relaxed)
data_ReSb3
_cell_length_a 5.108
_cell_length_b 5.108
_cell_length_c 3.475
_cell_angle_alpha 90.00
_cell_angle_beta 90.00
_cell_angle_gamma 103.88
_symmetry_space_group_name_H-M 'P 1'
_symmetry_Int_Tables_number 1
loop_
_symmetry_equiv_pos_as_xyz
'x,y,z'
loop_
_atom_site_label
_atom_site_type_symbol
_atom_site_fract_x
_atom_site_fract_y
_atom_site_fract_z
Re1 Re 0.000 0.000 0.000
Sb1 Sb 0.000 0.500 0.500
Sb2 Sb 0.500 0.000 0.500
Sb3 Sb 0.500 0.500 0.000
# Space-group type = Cmmm, No. 65
# Raw formation energy = 0.872 eV per atom
# Spin magnetization = 0.0 Bohr magnetons per cell
# DOS(E_F) = 4.34 states/eV/cell

---

[6]
# NpAs2Pb (PBE, relaxed)
data_NpAs2Pb
_cell_length_a 7.390
_cell_length_b 7.390
_cell_length_c 7.390
_cell_angle_alpha 33.46
_cell_angle_beta 33.46
_cell_angle_gamma 33.46
_symmetry_space_group_name_H-M 'P 1'
_symmetry_Int_Tables_number 1
loop_
_symmetry_equiv_pos_as_xyz
'x,y,z'
loop_
_atom_site_label
_atom_site_type_symbol
_atom_site_fract_x
_atom_site_fract_y
_atom_site_fract_z
Np1 Np 0.000 0.000 0.000
As1 As 0.406 0.406 0.406
As2 As 0.599 0.599 0.599
Pb1 Pb 0.826 0.826 0.826
# Space-group type = R3m, No. 160
# Spin magnetization = 3.0 Bohr magnetons per cell
# Formation enthalpy at 0 K = -251 meV per atom
# DOS(E_F) = 10.26 states/eV/cell

---

[7]
# SbTe2W (PBE, relaxed)
data_SbTe2W
_cell_length_a 7.284
_cell_length_b 7.284
_cell_length_c 7.284
_cell_angle_alpha 153.36
_cell_angle_beta 141.66
_cell_angle_gamma 47.30
_symmetry_space_group_name_H-M 'P 1'
_symmetry_Int_Tables_number 1
loop_
_symmetry_equiv_pos_as_xyz
'x,y,z'
loop_
_atom_site_label
_atom_site_type_symbol
_atom_site_fract_x
_atom_site_fract_y
_atom_site_fract_z
Sb1 Sb 0.000 0.000 0.000
Te1 Te 0.358 0.858 0.500
Te2 Te 0.660 0.660 0.000
W1 W 0.821 0.321 0.500
# Space-group type = Imm2, No. 44
# Raw formation energy = 0.435 eV per atom
# Spin magnetization = 0.0 Bohr magnetons per cell
# DOS(E_F) = 2.86 states/eV/cell

---

[8]
# ThPa2P (PBE, relaxed)
data_ThPa2P
_cell_length_a 3.728
_cell_length_b 3.728
_cell_length_c 7.152
_cell_angle_alpha 90.00
_cell_angle_beta 90.00
_cell_angle_gamma 90.00
_symmetry_space_group_name_H-M 'P 1'
_symmetry_Int_Tables_number 1
loop_
_symmetry_equiv_pos_as_xyz
'x,y,z'
loop_
_atom_site_label
_atom_site_type_symbol
_atom_site_fract_x
_atom_site_fract_y
_atom_site_fract_z
Th1 Th 0.000 0.000 0.000
Pa1 Pa 0.500 0.500 0.312
Pa2 Pa 0.500 0.500 0.688
P1 P 0.000 0.000 0.500
# Space-group type = P4/mmm, No. 123
# Spin magnetization = 0.0 Bohr magnetons per cell
# Formation enthalpy at 0 K = -357 meV per atom
# DOS(E_F) = 7.67 states/eV/cell

---

Question: Which value of spin magnetization does entry 6 give?
Answer: 3.0 Bohr magnetons per cell

---

Question: What is the formula in the first record?
Answer: Rb2LiVCd

---

Question: Among the records above, which one has the lowest DOS(E_F)?
Answer: SbTe2W